[1]
{"formula": "Zn2CdCuBr", "functional": "PBE-GGA", "state": "optimized geometry", "cell": [[4.879, 0.000, 0.000], [0.000, 4.879, 0.000], [0.000, 0.000, 5.150]], "species": ["Zn", "Zn", "Cd", "Cu", "Br"], "frac_coords": [[0.000, 0.500, 0.000], [0.500, 0.000, 0.000], [0.000, 0.000, 0.500], [0.500, 0.500, 0.000], [0.500, 0.500, 0.500]], "n_ef_per_ev_atom": 0.38, "crystal_system": "tetragonal", "e_form_raw_mev_per_atom": 212.1, "volume_a3_per_cell": 122.6}

=====

[2]
{"formula": "Tl4Cu2S", "functional": "PBE-GGA", "state": "optimized geometry", "cell": [[-2.879, 2.879, 6.465], [2.879, -2.879, 6.465], [2.879, 2.879, -6.465]], "species": ["Tl", "Tl", "Tl", "Tl", "Cu", "Cu", "S"], "frac_coords": [[0.000, 0.500, 0.500], [0.208, 0.208, 0.000], [0.500, 0.000, 0.500], [0.792, 0.792, 0.000], [0.411, 0.411, 0.000], [0.589, 0.589, 0.000], [0.000, 0.000, 0.000]], "n_ef_per_ev_atom": 0.48, "crystal_system": "tetragonal", "e_form_raw_mev_per_atom": 331.1, "volume_a3_per_cell": 214.4}

=====

[3]
{"formula": "Cd9Ga2Pb3", "functional": "PBE-GGA", "state": "optimized geometry", "cell": [[-1.786, 5.217, 9.661], [1.786, -5.217, 9.661], [1.786, 5.217, -9.661]], "species": ["Cd", "Cd", "Cd", "Cd", "Cd", "Cd", "Cd", "Cd", "Cd", "Ga", "Ga", "Pb", "Pb", "Pb"], "frac_coords": [[0.000, 0.000, 0.000], [0.131, 0.269, 0.862], [0.161, 0.883, 0.278], [0.395, 0.117, 0.278], [0.406, 0.269, 0.138], [0.594, 0.731, 0.862], [0.605, 0.883, 0.722], [0.839, 0.117, 0.722], [0.869, 0.731, 0.138], [0.234, 0.500, 0.734], [0.766, 0.500, 0.266], [0.141, 0.641, 0.500], [0.500, 0.000, 0.500], [0.859, 0.359, 0.500]], "n_ef_per_ev_atom": 0.48, "formation_energy_ev_per_atom": 0.0817, "crystal_system": "orthorhombic", "volume_a3_per_cell": 360.1}

=====

[4]
{"formula": "PrHo4Tl", "functional": "PBE-GGA", "state": "optimized geometry", "cell": [[3.605, 0.000, 0.000], [0.000, 3.605, 0.000], [0.000, 0.000, 14.238]], "species": ["Pr", "Ho", "Ho", "Ho", "Ho", "Tl"], "frac_coords": [[0.000, 0.000, 0.000], [0.000, 0.000, 0.352], [0.000, 0.000, 0.648], [0.500, 0.500, 0.180], [0.500, 0.500, 0.820], [0.500, 0.500, 0.500]], "n_ef_per_ev_atom": 1.13, "formation_energy_ev_per_atom": -0.1016, "crystal_system": "tetragonal", "de_polymorph_mev_per_atom": 0.0, "volume_a3_per_cell": 185.0}

=====

[5]
{"formula": "CaSi2H", "functional": "PBE-GGA", "state": "optimized geometry", "cell": [[5.937, 0.000, 0.000], [0.000, 3.828, 0.000], [-2.533, 0.000, 6.154]], "species": ["Ca", "Ca", "Si", "Si", "Si", "Si", "H", "H"], "frac_coords": [[0.000, 0.000, 0.000], [0.002, 0.500, 0.530], [0.406, 0.000, 0.473], [0.457, 0.500, 0.995], [0.578, 0.500, 0.697], [0.599, 0.000, 0.213], [0.064, 0.000, 0.701], [0.166, 0.500, 0.927]], "n_ef_per_ev_atom": 0.08, "crystal_system": "monoclinic", "de_polymorph_mev_per_atom": 0.0, "volume_a3_per_cell": 139.9}

=====

[6]
{"formula": "SrSe3S", "functional": "PBE-GGA", "state": "optimized geometry", "cell": [[6.004, 0.000, 0.000], [0.000, 6.004, 0.000], [0.000, 0.000, 6.004]], "species": ["Sr", "Se", "Se", "Se", "S"], "frac_coords": [[0.000, 0.000, 0.000], [0.000, 0.000, 0.500], [0.000, 0.500, 0.000], [0.500, 0.000, 0.000], [0.500, 0.500, 0.500]], "n_ef_per_ev_atom": 0.76, "crystal_system": "cubic", "de_polymorph_mev_per_atom": 1093.5, "e_form_raw_mev_per_atom": 586.2, "volume_a3_per_cell": 216.5}

=====

[7]
{"formula": "Sm7Tm2Sc2", "functional": "PBE-GGA", "state": "optimized geometry", "cell": [[5.437, -5.720, 0.000], [5.437, 5.720, 0.000], [-2.237, 0.000, 5.631]], "species": ["Sm", "Sm", "Sm", "Sm", "Sm", "Sm", "Sm", "Tm", "Tm", "Sc", "Sc"], "frac_coords": [[0.000, 0.000, 0.000], [0.060, 0.581, 0.809], [0.419, 0.940, 0.191], [0.421, 0.421, 0.204], [0.579, 0.579, 0.796], [0.581, 0.060, 0.809], [0.940, 0.419, 0.191], [0.214, 0.214, 0.580], [0.786, 0.786, 0.420], [0.222, 0.778, 0.500], [0.778, 0.222, 0.500]], "n_ef_per_ev_atom": 1.36, "formation_energy_ev_per_atom": 0.1530, "crystal_system": "monoclinic", "de_polymorph_mev_per_atom": 0.0, "volume_a3_per_cell": 350.3}